This record from Alexandria via LeMat-Bulk describes a crystal of MoAu relaxed with PBEsol. The functional is meta-GGA SCAN.

D(E_F)	0.7760	states/eV/atom
energy	-51.760	eV/atom
crystal system	trigonal
total magnetization	0.000	μB per formula unit
formation energy	0.523	eV per formula unit

Cell lengths 9.725, 9.725, 9.725 Å; angles 16.45, 16.45, 16.45 degrees
Fractional positions:
Mo1 0.125 0.125 0.125
Mo2 0.875 0.875 0.875
Au1 0.377 0.377 0.377
Au2 0.623 0.623 0.623